# Y2Sb meta-GGA SCAN PBEsol geometry
data_Y2Sb
_chemical_formula_sum 'Y4 Sb2'
_space_group_name_H-M_alt 'P 1'
_space_group_IT_number 1
_cell_length_a 4.089
_cell_length_b 6.204
_cell_length_c 7.628
_cell_angle_alpha 114.00
_cell_angle_beta 105.55
_cell_angle_gamma 90.00
loop_
_space_group_symop_operation_xyz
'x,y,z'
loop_
_atom_site_label
_atom_site_type_symbol
_atom_site_fract_x
_atom_site_fract_y
_atom_site_fract_z
Sb1 Sb 0.643 0.143 0.285
Sb2 Sb 0.357 0.857 0.715
Y1 Y 0.000 0.756 0.000
Y2 Y 0.690 0.690 0.380
Y3 Y 0.000 0.244 0.000
Y4 Y 0.310 0.310 0.620
# **Raw formation energy**: -0.84 eV/atom
# **VASP energy**: -2.33886 Ry/atom
# **Space-group type**: Immm (71)
# **D(E_F)**: 0.78 states/eV/atom